Entry 1:
# Be3OsO | Alexandria via LeMat-Bulk | PBE | optimized geometry
data_Be3OsO
_chemical_formula_sum 'Be3 Os1 O1'
_symmetry_space_group_name_H-M 'P 1'
_symmetry_Int_Tables_number 1
_symmetry_space_group_name_Hall 'P 1'
_cell_length_a 4.153
_cell_length_b 4.153
_cell_length_c 4.153
_cell_angle_alpha 90.00
_cell_angle_beta 90.00
_cell_angle_gamma 90.00
loop_
_atom_site_label
_atom_site_fract_x
_atom_site_fract_y
_atom_site_fract_z
Be1 0.000 0.500 0.000
Be2 0.000 0.000 0.500
Be3 0.500 0.000 0.000
Os1 0.000 0.000 0.000
O1 0.500 0.500 0.500
# DOS at the Fermi energy = 1.68 states/eV/f.u.
# Offset from the most stable computed form = 1745 meV/atom
# Formation energy (no corrections) = 1.27 eV per atom
# Calculated total energy = -4.21 eV/atom

Entry 2:
# RbAg3Sn3 | Alexandria via LeMat-Bulk | PBE | optimized geometry
data_RbAg3Sn3
_chemical_formula_sum 'Rb2 Ag6 Sn6'
_symmetry_space_group_name_H-M 'P 1'
_symmetry_Int_Tables_number 1
_symmetry_space_group_name_Hall 'P 1'
_cell_length_a 7.494
_cell_length_b 7.494
_cell_length_c 9.841
_cell_angle_alpha 67.62
_cell_angle_beta 67.62
_cell_angle_gamma 60.00
loop_
_atom_site_label
_atom_site_fract_x
_atom_site_fract_y
_atom_site_fract_z
Rb1 0.338 0.338 0.985
Rb2 0.662 0.662 0.015
Ag1 0.139 0.704 0.285
Ag2 0.872 0.139 0.285
Ag3 0.704 0.872 0.285
Ag4 0.296 0.128 0.715
Ag5 0.128 0.861 0.715
Ag6 0.861 0.296 0.715
Sn1 0.580 0.723 0.625
Sn2 0.723 0.072 0.625
Sn3 0.072 0.580 0.625
Sn4 0.928 0.420 0.375
Sn5 0.277 0.928 0.375
Sn6 0.420 0.277 0.375
# DOS at the Fermi energy = 2.85 states/eV/f.u.
# Offset from the most stable computed form = 0 meV/atom
# Calculated formation energy = 0.08 eV per atom
# Calculated total energy = -3.00 eV/atom

Entry 3:
# TmInAg2 | Alexandria via LeMat-Bulk | PBE | optimized geometry
data_TmInAg2
_chemical_formula_sum 'Tm1 In1 Ag2'
_symmetry_space_group_name_H-M 'P 1'
_symmetry_Int_Tables_number 1
_symmetry_space_group_name_Hall 'P 1'
_cell_length_a 3.712
_cell_length_b 3.712
_cell_length_c 6.440
_cell_angle_alpha 90.00
_cell_angle_beta 90.00
_cell_angle_gamma 90.00
loop_
_atom_site_label
_atom_site_fract_x
_atom_site_fract_y
_atom_site_fract_z
Tm1 0.500 0.500 0.000
Ag1 0.000 0.000 0.758
Ag2 0.000 0.000 0.242
In1 0.500 0.500 0.500
# DOS at the Fermi energy = 1.81 states/eV/f.u.
# Offset from the most stable computed form = 127 meV/atom
# Calculated formation energy = -0.22 eV per atom
# Calculated total energy = -3.45 eV/atom

Entry 4:
# CsCd2BiPd | Alexandria via LeMat-Bulk | PBE | optimized geometry
data_CsCd2BiPd
_chemical_formula_sum 'Cs1 Cd2 Bi1 Pd1'
_symmetry_space_group_name_H-M 'P 1'
_symmetry_Int_Tables_number 1
_symmetry_space_group_name_Hall 'P 1'
_cell_length_a 5.423
_cell_length_b 5.423
_cell_length_c 5.513
_cell_angle_alpha 90.00
_cell_angle_beta 90.00
_cell_angle_gamma 90.00
loop_
_atom_site_label
_atom_site_fract_x
_atom_site_fract_y
_atom_site_fract_z
Cs1 0.500 0.500 0.500
Bi1 0.000 0.000 0.500
Pd1 0.000 0.000 0.000
Cd1 0.000 0.500 0.000
Cd2 0.500 0.000 0.000
# DOS at the Fermi energy = 3.21 states/eV/f.u.
# Calculated formation energy = -0.13 eV per atom
# Calculated total energy = -2.48 eV/atom

Entry 5:
# NpMnMoRu | Alexandria via LeMat-Bulk | PBE | optimized geometry
data_NpMnMoRu
_chemical_formula_sum 'Np1 Mn1 Mo1 Ru1'
_symmetry_space_group_name_H-M 'P 1'
_symmetry_Int_Tables_number 1
_symmetry_space_group_name_Hall 'P 1'
_cell_length_a 4.541
_cell_length_b 4.541
_cell_length_c 4.541
_cell_angle_alpha 60.00
_cell_angle_beta 60.00
_cell_angle_gamma 60.00
loop_
_atom_site_label
_atom_site_fract_x
_atom_site_fract_y
_atom_site_fract_z
Np1 0.250 0.250 0.250
Ru1 0.500 0.500 0.500
Mo1 0.000 0.000 0.000
Mn1 0.750 0.750 0.750
# DOS at the Fermi energy = 9.28 states/eV/f.u.
# Calculated formation energy = 0.22 eV per atom
# Calculated total energy = -10.33 eV/atom

Entry 6:
# K3Er2HfTe6 | Alexandria via LeMat-Bulk | PBE | optimized geometry
data_K3Er2HfTe6
_chemical_formula_sum 'K3 Er2 Hf1 Te6'
_symmetry_space_group_name_H-M 'P 1'
_symmetry_Int_Tables_number 1
_symmetry_space_group_name_Hall 'P 1'
_cell_length_a 7.550
_cell_length_b 7.550
_cell_length_c 8.656
_cell_angle_alpha 98.38
_cell_angle_beta 98.38
_cell_angle_gamma 120.00
loop_
_atom_site_label
_atom_site_fract_x
_atom_site_fract_y
_atom_site_fract_z
K1 0.171 0.829 0.500
K2 0.829 0.171 0.500
K3 0.500 0.500 0.500
Er1 0.334 0.666 0.000
Er2 0.666 0.334 0.000
Hf1 0.000 0.000 0.000
Te1 0.932 0.611 0.795
Te2 0.749 0.749 0.206
Te3 0.068 0.389 0.205
Te4 0.611 0.932 0.795
Te5 0.251 0.251 0.794
Te6 0.389 0.068 0.205
# DOS at the Fermi energy = 4.60 states/eV/f.u.
# Formation energy (no corrections) = -1.19 eV per atom
# Calculated total energy = -4.63 eV/atom

Entry 7:
# NdGd2Mg | Alexandria via LeMat-Bulk | PBE | optimized geometry
data_NdGd2Mg
_chemical_formula_sum 'Nd1 Gd2 Mg1'
_symmetry_space_group_name_H-M 'P 1'
_symmetry_Int_Tables_number 1
_symmetry_space_group_name_Hall 'P 1'
_cell_length_a 3.495
_cell_length_b 3.495
_cell_length_c 12.561
_cell_angle_alpha 82.00
_cell_angle_beta 82.00
_cell_angle_gamma 60.00
loop_
_atom_site_label
_atom_site_fract_x
_atom_site_fract_y
_atom_site_fract_z
Mg1 0.000 0.000 0.000
Gd1 0.088 0.088 0.735
Gd2 0.912 0.912 0.265
Nd1 0.500 0.500 0.500
# DOS at the Fermi energy = 4.67 states/eV/f.u.
# Offset from the most stable computed form = 242 meV/atom
# Calculated formation energy = 0.21 eV per atom
# Calculated total energy = -8.43 eV/atom

Entry 8:
# TmGa2Ru | Alexandria via LeMat-Bulk | PBE | optimized geometry
data_TmGa2Ru
_chemical_formula_sum 'Tm4 Ga8 Ru4'
_symmetry_space_group_name_H-M 'P 1'
_symmetry_Int_Tables_number 1
_symmetry_space_group_name_Hall 'P 1'
_cell_length_a 4.206
_cell_length_b 6.737
_cell_length_c 10.321
_cell_angle_alpha 90.00
_cell_angle_beta 90.00
_cell_angle_gamma 90.00
loop_
_atom_site_label
_atom_site_fract_x
_atom_site_fract_y
_atom_site_fract_z
Tm1 0.750 0.747 0.343
Tm2 0.750 0.247 0.157
Tm3 0.250 0.253 0.657
Tm4 0.250 0.753 0.843
Ga1 0.750 0.747 0.051
Ga2 0.250 0.253 0.949
Ga3 0.750 0.247 0.449
Ga4 0.250 0.753 0.551
Ga5 0.750 0.083 0.835
Ga6 0.250 0.417 0.335
Ga7 0.750 0.583 0.665
Ga8 0.250 0.917 0.165
Ru1 0.250 0.042 0.396
Ru2 0.750 0.958 0.604
Ru3 0.250 0.542 0.104
Ru4 0.750 0.458 0.896
# DOS at the Fermi energy = 2.62 states/eV/f.u.
# Calculated formation energy = -0.54 eV per atom
# Calculated total energy = -5.49 eV/atom

| no. | size of the total moment (μB/cell) | density (kg/m3) |
| --- | --- | --- |
| 1 | 0.000 | 5406 |
| 2 | 0.000 | 5912 |
| 3 | 0.000 | 9349 |
| 4 | 0.000 | 6893 |
| 5 | 6.070 | 12261 |
| 6 | 0.000 | 5671 |
| 7 | 14.909 | 6117 |
| 8 | 0.000 | 9300 |